Entry 1:
The following is a PBE-GGA calculation of a relaxed structure of K5ZnAs2, from the Alexandria database.

The value obtained for the size of the total moment is 1.01 Bohr magnetons per cell. For the energy relative to the elements, the calculation gives -335 meV per atom.

Unit cell a=5.9141 b=5.9141 c=19.8685 alpha=90.00 beta=90.00 gamma=120.00
Space group P6_3/mmc (No. 194)
One atom of each set of equivalent atoms:
K  0.0000  0.0000  0.1363 (multiplicity 4)
K  0.3333  0.6667  0.0455 (multiplicity 4)
K  0.3333  0.6667  0.2500 (multiplicity 2)
Zn  0.3333  0.6667  0.7500 (multiplicity 2)
As  0.3333  0.6667  0.6317 (multiplicity 4)

Entry 2:
The following is a PBE-GGA calculation of a relaxed structure of PrTlHg3, from the Alexandria database.

The value obtained for the size of the total moment is 0.00 Bohr magnetons per cell. The value obtained for the energy above the most stable polymorph in this dataset is 0 meV/atom. For the energy relative to the elements, the calculation gives -243 meV per atom.

Unit cell a=16.070 b=5.106 c=6.758 alpha=90.00 beta=104.45 gamma=90.00
Space group C2/m (No. 12)
One atom of each set of equivalent atoms:
Pr  0.127  0.000  0.474 (multiplicity 4)
Tl  0.011  0.500  0.738 (multiplicity 4)
Hg  0.093  0.000  0.947 (multiplicity 4)
Hg  0.180  0.500  0.208 (multiplicity 4)
Hg  0.212  0.500  0.753 (multiplicity 4)

Entry 3:
The following is a PBE-GGA calculation of a relaxed structure of YPbSeO5, from the Alexandria database.

The value obtained for the size of the total moment is 3.53 Bohr magnetons per cell. Its raw formation energy is -1612 meV per atom.

Unit cell a=7.654 b=9.910 c=7.989 alpha=90.00 beta=116.46 gamma=90.00
Space group C2/c (No. 15)
One atom of each set of equivalent atoms:
Y  0.250  0.250  0.000 (multiplicity 4)
Pb  0.000  0.046  0.250 (multiplicity 4)
Se  0.000  0.448  0.250 (multiplicity 4)
O  0.000  0.177  0.750 (multiplicity 4)
O  0.029  0.341  0.097 (multiplicity 8)
O  0.244  0.026  0.103 (multiplicity 8)

Entry 4:
The following is a PBE-GGA calculation of a relaxed structure of SrTl3S, from the Alexandria database.

The value obtained for the size of the total moment is 0.00 Bohr magnetons per cell. The value obtained for the energy above the most stable polymorph in this dataset is 0 meV/atom. Its raw formation energy is -37 meV per atom.

Unit cell a=5.698 b=5.698 c=5.698 alpha=90.00 beta=90.00 gamma=90.00
Space group Pm-3m (No. 221)
One atom of each set of equivalent atoms:
Sr  0.000  0.000  0.000 (multiplicity 1)
Tl  0.000  0.500  0.500 (multiplicity 3)
S  0.500  0.500  0.500 (multiplicity 1)

Entry 5:
The following is a PBE-GGA calculation of a relaxed structure of ZnBiIr3, from the Alexandria database.

The value obtained for the size of the total moment is 0.00 Bohr magnetons per cell. The value obtained for the energy above the most stable polymorph in this dataset is 867 meV/atom. For the energy relative to the elements, the calculation gives 2046 meV per atom.

Unit cell a=4.972 b=4.972 c=4.972 alpha=90.00 beta=90.00 gamma=90.00
Space group Pm-3m (No. 221)
One atom of each set of equivalent atoms:
Zn  0.000  0.000  0.000 (multiplicity 1)
Bi  0.500  0.500  0.500 (multiplicity 1)
Ir  0.000  0.500  0.500 (multiplicity 3)

Entry 6:
The following is a PBE-GGA calculation of a relaxed structure of NaCd2GeRu, from the Alexandria database.

The value obtained for the size of the total moment is 0.00 Bohr magnetons per cell. For the energy relative to the elements, the calculation gives 31 meV per atom.

Unit cell a=5.256 b=5.256 c=4.675 alpha=90.00 beta=90.00 gamma=90.00
Space group P4/mmm (No. 123)
One atom of each set of equivalent atoms:
Na  0.000  0.000  0.000 (multiplicity 1)
Cd  0.000  0.500  0.500 (multiplicity 2)
Ge  0.500  0.500  0.000 (multiplicity 1)
Ru  0.500  0.500  0.500 (multiplicity 1)